! La4PrSm PBE relaxed; values from VASP
&SYSTEM
  ibrav = 0, nat = 6, ntyp = 3
/
ATOMIC_SPECIES
La 138.91 La.upf
Pr 140.91 Pr.upf
Sm 150.36 Sm.upf
CELL_PARAMETERS angstrom
3.702 0.000 0.000
0.000 5.270 0.000
0.000 0.000 11.123
ATOMIC_POSITIONS crystal
La 0.000 0.000 0.167
La 0.000 0.000 0.833
La 0.500 0.500 0.329
La 0.500 0.500 0.671
Pr 0.000 0.000 0.500
Sm 0.500 0.500 0.000
! Total magnetic moment, μB per formula unit: 0.00
! Final energy, eV per atom: -4.85
! ΔE_f, eV/atom: 0.017
! E above lowest polymorph, meV/atom: 0

---

! La3Pr4Sm5 PBE relaxed; values from VASP
&SYSTEM
  ibrav = 0, nat = 12, ntyp = 3
/
ATOMIC_SPECIES
La 138.91 La.upf
Pr 140.91 Pr.upf
Sm 150.36 Sm.upf
CELL_PARAMETERS angstrom
6.388 0.000 0.000
0.011 7.364 0.000
0.013 0.002 9.051
ATOMIC_POSITIONS crystal
La 0.000 0.000 0.000
La 0.167 0.249 0.332
La 0.833 0.751 0.668
Pr 0.168 0.751 0.332
Pr 0.332 0.500 0.668
Pr 0.668 0.500 0.332
Pr 0.832 0.249 0.668
Sm 0.000 0.500 0.000
Sm 0.335 0.000 0.668
Sm 0.499 0.750 0.000
Sm 0.501 0.250 0.000
Sm 0.665 0.000 0.332
! Total magnetic moment, μB per formula unit: 0.00
! Final energy, eV per atom: -4.78
! ΔE_f, eV/atom: 0.016
! E above lowest polymorph, meV/atom: 0

---

! La16Pr6Sm7 PBE relaxed; values from VASP
&SYSTEM
  ibrav = 0, nat = 29, ntyp = 3
/
ATOMIC_SPECIES
La 138.91 La.upf
Pr 140.91 Pr.upf
Sm 150.36 Sm.upf
CELL_PARAMETERS angstrom
0.000 8.103 8.103
8.103 0.000 8.103
8.103 8.103 0.000
ATOMIC_POSITIONS crystal
La 0.033 0.656 0.656
La 0.121 0.121 0.121
La 0.121 0.121 0.636
La 0.121 0.636 0.121
La 0.344 0.344 0.344
La 0.344 0.344 0.967
La 0.344 0.967 0.344
La 0.364 0.879 0.879
La 0.636 0.121 0.121
La 0.656 0.033 0.656
La 0.656 0.656 0.033
La 0.656 0.656 0.656
La 0.879 0.364 0.879
La 0.879 0.879 0.364
La 0.879 0.879 0.879
La 0.967 0.344 0.344
Pr 0.296 0.296 0.704
Pr 0.296 0.704 0.296
Pr 0.296 0.704 0.704
Pr 0.704 0.296 0.296
Pr 0.704 0.296 0.704
Pr 0.704 0.704 0.296
Sm 0.000 0.000 0.000
Sm 0.000 0.000 0.500
Sm 0.000 0.500 0.000
Sm 0.000 0.500 0.500
Sm 0.500 0.000 0.000
Sm 0.500 0.000 0.500
Sm 0.500 0.500 0.000
! Total magnetic moment, μB per formula unit: 0.01
! Final energy, eV per atom: -4.67
! ΔE_f, eV/atom: 0.176

---

! La5Pr8Sm PBE relaxed; values from VASP
&SYSTEM
  ibrav = 0, nat = 14, ntyp = 3
/
ATOMIC_SPECIES
La 138.91 La.upf
Pr 140.91 Pr.upf
Sm 150.36 Sm.upf
CELL_PARAMETERS angstrom
-4.949 4.949 5.245
4.949 -4.949 5.245
4.949 4.949 -5.245
ATOMIC_POSITIONS crystal
La 0.000 0.000 0.000
La 0.318 0.637 0.104
La 0.363 0.467 0.681
La 0.533 0.214 0.896
La 0.786 0.682 0.319
Pr 0.030 0.429 0.255
Pr 0.059 0.167 0.741
Pr 0.175 0.775 0.745
Pr 0.225 0.970 0.399
Pr 0.426 0.318 0.259
Pr 0.571 0.825 0.601
Pr 0.682 0.941 0.108
Pr 0.833 0.574 0.892
Sm 0.750 0.250 0.500
! Total magnetic moment, μB per formula unit: 0.00
! Final energy, eV per atom: -4.62
! ΔE_f, eV/atom: 0.207

---

Q: What is the formula in the first record?
A: La4PrSm

---

Q: What is the total magnetic moment in the third record?
A: 0.01 μB per formula unit

---

Q: Which value of final energy does entry 2 give?
A: -4.78 eV per atom

---

Repeat the first record exactly.
! La4PrSm PBE relaxed; values from VASP
&SYSTEM
  ibrav = 0, nat = 6, ntyp = 3
/
ATOMIC_SPECIES
La 138.91 La.upf
Pr 140.91 Pr.upf
Sm 150.36 Sm.upf
CELL_PARAMETERS angstrom
3.702 0.000 0.000
0.000 5.270 0.000
0.000 0.000 11.123
ATOMIC_POSITIONS crystal
La 0.000 0.000 0.167
La 0.000 0.000 0.833
La 0.500 0.500 0.329
La 0.500 0.500 0.671
Pr 0.000 0.000 0.500
Sm 0.500 0.500 0.000
! Total magnetic moment, μB per formula unit: 0.00
! Final energy, eV per atom: -4.85
! ΔE_f, eV/atom: 0.017
! E above lowest polymorph, meV/atom: 0